VASP calculation (GGA-PBEsol) on an optimized crystal structure of K2AsSeS.

```
K2AsSeS
1.0
4.7017 0.0000 0.0000
0.0000 6.1481 0.0000
0.0000 0.0000 6.1481
K As S Se
2 1 1 1
Cartesian
0.0000 0.0000 3.0740 K
0.0000 3.0740 0.0000 K
2.3508 3.0740 3.0740 As
2.3508 0.0000 0.0000 S
0.0000 0.0000 0.0000 Se
```

Values from the calculation:
- Raw total energy: -0.2280 Ry/atom